[1]
NaAc2Tl2Pd7 | PBE | optimized geometry

Structure (extended XYZ):
```
12
Lattice="-0.3846 -3.3867 2.6993 3.9355 -1.4677 -1.1234 7.0019 6.0279 10.9388" Properties=species:S:1:pos:R:3 pbc="T T T"
Pd 1.7754 -2.4272 0.7880
Na 0.0000 0.0000 0.0000
Tl 7.3688 1.7712 9.2166
Pd 4.4899 -2.1901 1.5511
Pd 6.0629 3.3636 10.9637
Pd 2.3241 -3.1522 3.4676
Pd 6.2237 0.3227 7.1954
Ac 5.6613 -2.1555 5.3157
Ac 4.8915 3.3290 7.1990
Pd 4.3290 0.8508 5.3193
Tl 3.1840 -0.5977 3.2982
Pd 8.2287 4.3257 9.0472
```

Results
E (eV per atom): -4.559
Fermi-level density of states (states/eV per cell): 4.5
SG: C2/m (12)

=====

[2]
NaAc2Pm | PBE | optimized geometry

Structure (extended XYZ):
```
4
Lattice="-1.9619 1.8952 2.9198 -4.5646 -4.3384 -0.2511 3.0510 -3.4588 4.2952" Properties=species:S:1:pos:R:3 pbc="T T T"
Pm -1.7378 -2.9510 3.4819
Ac -2.2823 -2.1692 -0.1256
Na -0.9810 0.9476 1.4599
Ac 1.5255 -1.7294 2.1476
```

Results
Relative energy among the computed polymorphs (eV/f.u.): 0.244
Fermi-level density of states (states/eV per cell): 4.3
SG: P4/mmm (123)

=====

[3]
NaAcPm | PBE | optimized geometry

Structure (extended XYZ):
```
6
Lattice="-0.9068 -2.7464 -2.5206 2.7363 -1.6144 -2.1506 3.8902 -15.8371 10.1476" Properties=species:S:1:pos:R:3 pbc="T T T"
Na 1.8067 -5.8643 0.1524
Ac 2.8846 -9.5867 0.9275
Na 0.7664 -2.2868 -0.5500
Pm 2.7148 -10.2482 4.6225
Pm 3.7494 -13.7419 5.1249
Ac 3.5793 -14.4026 8.8200
```

Results
Relative energy among the computed polymorphs (eV/f.u.): 0.000
Fermi-level density of states (states/eV per cell): 7.2
SG: C2/m (12)

=====

[4]
NaAc2Pm | PBE | optimized geometry

Structure (extended XYZ):
```
4
Lattice="-2.5946 2.7659 0.6045 -2.5313 -1.8990 -2.1757 -3.6845 -5.4287 9.0249" Properties=species:S:1:pos:R:3 pbc="T T T"
Pm -2.5630 0.4334 -0.7856
Ac -0.8680 -1.2789 2.1261
Ac -2.8165 -4.1498 6.8988
Na -4.4052 -2.2809 3.7268
```

Results
Relative energy among the computed polymorphs (eV/f.u.): 0.028
Fermi-level density of states (states/eV per cell): 3.7
SG: P4/mmm (123)